Record 1
## Cs2PtRh (SCAN)

Data for Cs2PtRh at its PBEsol-relaxed geometry.

Properties
* V: 26.20 Å³/atom
* SG: No. 225
* mass density: 8.93 Mg/m³
* E_form: 102 kJ/mol of atoms

Lattice parameters (Å, degrees): 7.4837 7.4837 7.4837 90.00 90.00 90.00
Last column: nearest neighbours and their distance in Å.
Element x y z (fractional)
Cs  0.2500  0.2500  0.2500  4 Rh 3.24, 4 Pt 3.24
Cs  0.2500  0.2500  0.7500  4 Rh 3.24, 4 Pt 3.24
Cs  0.2500  0.7500  0.2500  4 Rh 3.24, 4 Pt 3.24
Cs  0.2500  0.7500  0.7500  4 Rh 3.24, 4 Pt 3.24
Cs  0.7500  0.2500  0.2500  4 Rh 3.24, 4 Pt 3.24
Cs  0.7500  0.2500  0.7500  4 Rh 3.24, 4 Pt 3.24
Cs  0.7500  0.7500  0.2500  4 Rh 3.24, 4 Pt 3.24
Cs  0.7500  0.7500  0.7500  4 Rh 3.24, 4 Pt 3.24
Pt  0.0000  0.0000  0.0000  8 Cs 3.24
Pt  0.0000  0.5000  0.5000  8 Cs 3.24
Pt  0.5000  0.0000  0.5000  8 Cs 3.24
Pt  0.5000  0.5000  0.0000  8 Cs 3.24
Rh  0.0000  0.0000  0.5000  8 Cs 3.24
Rh  0.0000  0.5000  0.0000  8 Cs 3.24
Rh  0.5000  0.0000  0.0000  8 Cs 3.24
Rh  0.5000  0.5000  0.5000  8 Cs 3.24



Record 2
## Cs2Sb2Pt (SCAN)

Data for Cs2Sb2Pt at its PBEsol-relaxed geometry.

Properties
* V: 37.69 Å³/atom
* SG: No. 63
* mass density: 6.21 Mg/m³
* VASP energy: -44.68 eV/atom

Lattice parameters (Å, degrees): 8.3833 8.3833 6.7919 90.00 90.00 127.85
Last column: nearest neighbours and their distance in Å.
Element x y z (fractional)
Cs  0.1012  0.8988  0.7500  6 Sb 3.77-4.09, 2 Cs 3.96
Cs  0.3027  0.6973  0.2500  2 Pt 3.42, 2 Sb 3.83
Cs  0.6973  0.3027  0.7500  2 Pt 3.42, 2 Sb 3.83
Cs  0.8988  0.1012  0.2500  6 Sb 3.77-4.09, 2 Cs 3.96
Sb  0.2103  0.4069  0.7500  2 Pt 2.66, 1 Sb 2.82
Sb  0.4069  0.2103  0.2500  2 Pt 2.66, 1 Sb 2.82
Sb  0.5931  0.7897  0.7500  2 Pt 2.66, 1 Sb 2.82
Sb  0.7897  0.5931  0.2500  2 Pt 2.66, 1 Sb 2.82
Pt  0.5000  0.5000  0.0000  4 Sb 2.66
Pt  0.5000  0.5000  0.5000  4 Sb 2.66



Record 3
## CsSb3Pt (SCAN)

Data for CsSb3Pt at its PBEsol-relaxed geometry.

Properties
* V: 31.43 Å³/atom
* SG: No. 221
* mass density: 7.33 Mg/m³
* VASP energy: -43.87 eV/atom

Lattice parameters (Å, degrees): 5.3964 5.3964 5.3964 90.00 90.00 90.00
Last column: nearest neighbours and their distance in Å.
Element x y z (fractional)
Cs  0.0000  0.0000  0.0000  12 Sb 3.82
Sb  0.0000  0.5000  0.5000  2 Pt 2.70
Sb  0.5000  0.0000  0.5000  2 Pt 2.70
Sb  0.5000  0.5000  0.0000  2 Pt 2.70
Pt  0.5000  0.5000  0.5000  6 Sb 2.70



Record 4
## CsPtSe2 (SCAN)

Data for CsPtSe2 at its PBEsol-relaxed geometry.

Properties
* V: 33.66 Å³/atom
* SG: No. 166
* mass density: 5.99 Mg/m³
* VASP energy: -37.28 eV/atom

Lattice parameters (Å, degrees): 6.2005 6.2005 12.1325 90.00 90.00 120.00
Last column: nearest neighbours and their distance in Å.
Element x y z (fractional)
Cs  0.0000  0.0000  0.0000  8 Se 3.59-3.82
Cs  0.3333  0.6667  0.6667  8 Se 3.59-3.82
Cs  0.6667  0.3333  0.3333  8 Se 3.59-3.82
Pt  0.0000  0.0000  0.5000  2 Se 2.25
Pt  0.3333  0.6667  0.1667  2 Se 2.25
Pt  0.6667  0.3333  0.8333  2 Se 2.25
Se  0.0000  0.0000  0.3148  1 Pt 2.25
Se  0.0000  0.0000  0.6852  1 Pt 2.25
Se  0.3333  0.6667  0.3518  1 Pt 2.25
Se  0.3333  0.6667  0.9815  1 Pt 2.25
Se  0.6667  0.3333  0.0185  1 Pt 2.25
Se  0.6667  0.3333  0.6482  1 Pt 2.25